Computed, not measured: a relaxed P3Os4 crystal at the PBE level of DFT.

Cell and atoms, written as extended XYZ:
```
7
Lattice="-4.304 -8.872 7.808 -4.660 -5.643 10.229 2.601 7.565 -9.705" Properties=species:S:1:pos:R:3 pbc="T T T"
Os -1.229 -1.991 2.474
Os -4.992 -8.083 10.045
P -2.750 -4.453 5.534
Os -7.734 -12.524 15.563
P 0.000 0.000 0.000
Os -3.972 -6.431 7.992
P -6.214 -10.061 12.503
```

Computed properties:
As for the space group: No. 139. Its mass density is 13.92 g cm⁻³. As for the formation energy: 0.09 eV per atom.